Computed, not measured: DyY3Ho2Sb2Os after structural relaxation at the PBE-GGA level of DFT.

E_tot in eV/cell: -58.8
Spin magnetization in μB per formula unit: 0.0
Crystal system: orthorhombic
Space-group type: Amm2 (38)

Structure (POSCAR):
```
DyY3Ho2Sb2Os
1.0
4.214 0.000 0.000
0.000 7.088 4.093
0.000 -7.088 4.093
Dy Y Ho Sb Os
1 3 2 2 1
Cartesian
0.000 0.000 0.000 Dy
2.107 -4.284 4.407 Y
2.107 0.000 5.171 Y
2.107 4.284 4.407 Y
0.000 -1.674 2.900 Ho
0.000 1.674 2.900 Ho
0.000 -2.364 6.025 Sb
0.000 2.364 6.025 Sb
2.107 0.000 1.936 Os
```